1.
First-principles (PBE) data for a relaxed Er2AlZn2Ni5 crystal, as listed in Alexandria.

Computed properties:
energy relative to the elements: -338 kJ/mol of formula units
final energy: -4.7824 eV/atom

Cell and atoms, written as POSCAR:
```
Er2AlZn2Ni5
1.0
9.287 0.000 0.000
0.000 9.287 0.000
0.000 0.000 3.476
Er Al Zn Ni
4 2 4 10
direct
0.176 0.324 0.000 Er
0.324 0.824 0.000 Er
0.676 0.176 0.000 Er
0.824 0.676 0.000 Er
0.000 0.000 0.000 Al
0.500 0.500 0.000 Al
0.122 0.622 0.000 Zn
0.378 0.122 0.000 Zn
0.622 0.878 0.000 Zn
0.878 0.378 0.000 Zn
0.000 0.500 0.500 Ni
0.058 0.800 0.500 Ni
0.200 0.058 0.500 Ni
0.300 0.558 0.500 Ni
0.442 0.300 0.500 Ni
0.500 0.000 0.500 Ni
0.558 0.700 0.500 Ni
0.700 0.442 0.500 Ni
0.800 0.942 0.500 Ni
0.942 0.200 0.500 Ni
```

***

2.
First-principles (PBE) data for a relaxed SrPa2CdO8 crystal, as listed in Alexandria.

Computed properties:
formation energy from raw total energies: -2642 meV/atom
final energy: -7.7470 eV/atom

Cell and atoms, written as POSCAR:
```
SrPa2CdO8
1.0
-2.796 2.796 5.350
2.796 -2.796 5.350
2.796 2.796 -5.350
Sr Pa Cd O
1 2 1 8
direct
0.000 0.000 0.000 Sr
0.250 0.750 0.500 Pa
0.500 0.500 0.000 Pa
0.750 0.250 0.500 Cd
0.149 0.128 0.532 O
0.149 0.618 0.022 O
0.382 0.404 0.532 O
0.382 0.851 0.978 O
0.596 0.128 0.978 O
0.596 0.618 0.468 O
0.872 0.404 0.022 O
0.872 0.851 0.468 O
```

***

3.
First-principles (PBE) data for a relaxed LiZr crystal, as listed in Alexandria.

Computed properties:
energy relative to the lowest polymorph listed for this composition: 0 meV per atom
energy relative to the elements: 16 kJ/mol of formula units
final energy: -5.1472 eV/atom

Cell and atoms, written as POSCAR:
```
LiZr
1.0
3.128 0.000 0.000
0.000 3.128 0.000
0.000 0.000 8.841
Li Zr
2 2
direct
0.250 0.250 0.108 Li
0.750 0.750 0.892 Li
0.250 0.250 0.621 Zr
0.750 0.750 0.379 Zr
```

***

4.
First-principles (PBE) data for a relaxed Ac4La8Dy crystal, as listed in Alexandria.

Computed properties:
energy relative to the elements: 584 kJ/mol of formula units
final energy: -4.1849 eV/atom

Cell and atoms, written as POSCAR:
```
Ac4La8Dy
1.0
5.924 3.420 4.671
-5.924 3.420 4.671
0.000 -6.840 4.671
Ac La Dy
4 8 1
direct
0.000 0.000 0.000 Ac
0.000 0.500 0.500 Ac
0.500 0.000 0.500 Ac
0.500 0.500 0.000 Ac
0.236 0.236 0.749 La
0.236 0.749 0.236 La
0.239 0.239 0.239 La
0.251 0.764 0.764 La
0.749 0.236 0.236 La
0.761 0.761 0.761 La
0.764 0.251 0.764 La
0.764 0.764 0.251 La
0.500 0.500 0.500 Dy
```